# Tb2PrNd6

An optimized crystal structure of Tb2PrNd6 (GGA-PBE, the Alexandria database).

Results
The uncorrected energy comes out at -4.134 eV per atom. The calculation puts the formation energy at 0.6050 eV per atom. The relative energy among the computed polymorphs comes out at 5.31 eV/f.u.

Lattice parameters (Å, degrees): 8.3114 8.3114 10.5840 90.00 90.00 90.00
Last column: nearest neighbours and their distance in Å.
Space group P4_2/mnm (No. 136)
Inequivalent atoms, fractional coordinates:
Tb 0.0000 0.0000 0.1659 [4 per cell]  6 Nd 3.07-3.32
Pr 0.0000 0.0000 0.5000 [2 per cell]  6 Nd 3.09-3.31
Nd 0.2370 0.2370 0.0000 [4 per cell]  1 Pr 3.09, 2 Tb 3.29
Nd 0.2386 0.2386 0.3337 [8 per cell]  2 Tb 3.07-3.32, 1 Pr 3.31